PBE NaYSnPt, optimized geometry; symmetry = F-43m, No. 216; calculated total energy = -79.4 eV/cell; crystal system = cubic; spin magnetization = 0.0003 μB per atom
1.0
7.105 0.000 0.000
0.000 7.105 0.000
0.000 0.000 7.105
Na Y Sn Pt
4 4 4 4
direct
0.000 0.000 0.000
0.000 0.500 0.500
0.500 0.000 0.500
0.500 0.500 0.000
0.000 0.000 0.500
0.000 0.500 0.000
0.500 0.000 0.000
0.500 0.500 0.500
0.250 0.250 0.250
0.250 0.750 0.750
0.750 0.250 0.750
0.750 0.750 0.250
0.250 0.250 0.750
0.250 0.750 0.250
0.750 0.250 0.250
0.750 0.750 0.750


PBE ErZr3C, optimized geometry; symmetry = Pm-3m, No. 221; calculated total energy = -40.3 eV/cell; crystal system = cubic; spin magnetization = 0.0028 μB per atom
1.0
4.701 0.000 0.000
0.000 4.701 0.000
0.000 0.000 4.701
Er Zr C
1 3 1
direct
0.000 0.000 0.000
0.000 0.500 0.500
0.500 0.000 0.500
0.500 0.500 0.000
0.500 0.500 0.500


PBE YTaFeBi, optimized geometry; symmetry = F-43m, No. 216; calculated total energy = -112.6 eV/cell; crystal system = cubic; spin magnetization = 0.7430 μB per atom
1.0
6.896 0.000 0.000
0.000 6.896 0.000
0.000 0.000 6.896
Y Ta Fe Bi
4 4 4 4
direct
0.000 0.000 0.000
0.000 0.500 0.500
0.500 0.000 0.500
0.500 0.500 0.000
0.250 0.250 0.250
0.250 0.750 0.750
0.750 0.250 0.750
0.750 0.750 0.250
0.250 0.250 0.750
0.250 0.750 0.250
0.750 0.250 0.250
0.750 0.750 0.750
0.000 0.000 0.500
0.000 0.500 0.000
0.500 0.000 0.000
0.500 0.500 0.500